(1)
# BaScPt2 (GGA-PBE, optimized geometry)
data_BaScPt2
_chemical_formula_sum 'Ba1 Sc1 Pt2'
_symmetry_space_group_name_H-M 'P 1 2/m 1'
_symmetry_Int_Tables_number 10
_cell_length_a 4.2070
_cell_length_b 4.2231
_cell_length_c 5.9479
_cell_angle_alpha 90.00
_cell_angle_beta 90.29
_cell_angle_gamma 90.00
loop_
_symmetry_equiv_pos_as_xyz
'x,y,z'
'-x,-y,-z'
'-x,y,-z'
'x,-y,z'
loop_
_atom_site_label
_atom_site_fract_x
_atom_site_fract_y
_atom_site_fract_z
Ba1 0.0000 0.0000 0.0000
Sc1 0.5000 0.5000 0.5000
Pt1 0.0000 0.0000 0.5000
Pt2 0.5000 0.5000 0.0000
# offset from the most stable computed form	424	meV/atom
# E	-5.567	eV/atom
# DOS(E_F)	0.433	states/eV/atom

(2)
# BaScPt3 (GGA-PBE, optimized geometry)
data_BaScPt3
_chemical_formula_sum 'Ba1 Sc1 Pt3'
_symmetry_space_group_name_H-M 'P m -3 m'
_symmetry_Int_Tables_number 221
_symmetry_space_group_name_Hall '-P 4 2 3'
_cell_length_a 5.3068
_cell_length_b 5.3068
_cell_length_c 5.3068
_cell_angle_alpha 90.00
_cell_angle_beta 90.00
_cell_angle_gamma 90.00
loop_
_atom_site_label
_atom_site_fract_x
_atom_site_fract_y
_atom_site_fract_z
Ba1 0.0000 0.0000 0.0000
Sc1 0.5000 0.5000 0.5000
Pt1 0.0000 0.0000 0.5000
# offset from the most stable computed form	1586	meV/atom
# E	-4.041	eV/atom
# DOS(E_F)	1.365	states/eV/atom

(3)
# BaSc2Pt (GGA-PBE, optimized geometry)
data_BaSc2Pt
_chemical_formula_sum 'Ba1 Sc2 Pt1'
_symmetry_space_group_name_H-M 'P 1 m 1'
_symmetry_Int_Tables_number 6
_cell_length_a 3.7202
_cell_length_b 3.7343
_cell_length_c 8.2130
_cell_angle_alpha 90.00
_cell_angle_beta 90.21
_cell_angle_gamma 90.00
loop_
_symmetry_equiv_pos_as_xyz
'x,y,z'
'x,-y,z'
loop_
_atom_site_label
_atom_site_fract_x
_atom_site_fract_y
_atom_site_fract_z
Ba1 0.0000 0.0000 0.0000
Sc1 0.0035 0.0000 0.5914
Sc2 0.5017 0.5000 0.3548
Pt1 0.5039 0.5000 0.6827
# offset from the most stable computed form	69	meV/atom
# E	-5.560	eV/atom
# DOS(E_F)	1.129	states/eV/atom

(4)
# BaScPt2 (GGA-PBE, optimized geometry)
data_BaScPt2
_chemical_formula_sum 'Ba4 Sc4 Pt8'
_symmetry_space_group_name_H-M 'F m -3 m'
_symmetry_Int_Tables_number 225
_symmetry_space_group_name_Hall '-F 4 2 3'
_cell_length_a 7.1696
_cell_length_b 7.1696
_cell_length_c 7.1696
_cell_angle_alpha 90.00
_cell_angle_beta 90.00
_cell_angle_gamma 90.00
loop_
_atom_site_label
_atom_site_fract_x
_atom_site_fract_y
_atom_site_fract_z
Ba1 0.0000 0.0000 0.0000
Sc1 0.0000 0.0000 0.5000
Pt1 0.2500 0.2500 0.2500
# offset from the most stable computed form	335	meV/atom
# E	-5.657	eV/atom
# DOS(E_F)	0.592	states/eV/atom

(5)
# BaSc4Pt (GGA-PBE, optimized geometry)
data_BaSc4Pt
_chemical_formula_sum 'Ba4 Sc16 Pt4'
_symmetry_space_group_name_H-M 'F -4 3 m'
_symmetry_Int_Tables_number 216
_symmetry_space_group_name_Hall 'F -4 2 3'
_cell_length_a 8.4959
_cell_length_b 8.4959
_cell_length_c 8.4959
_cell_angle_alpha 90.00
_cell_angle_beta 90.00
_cell_angle_gamma 90.00
loop_
_atom_site_label
_atom_site_fract_x
_atom_site_fract_y
_atom_site_fract_z
Ba1 0.0000 0.0000 0.0000
Sc1 0.1231 0.1231 0.3769
Pt1 0.2500 0.2500 0.7500
# E	-5.200	eV/atom
# DOS(E_F)	1.725	states/eV/atom

(6)
# BaSc2Pt (GGA-PBE, optimized geometry)
data_BaSc2Pt
_chemical_formula_sum 'Ba3 Sc6 Pt3'
_symmetry_space_group_name_H-M 'R -3 m'
_symmetry_Int_Tables_number 166
_symmetry_space_group_name_Hall '-R 3 2"'
_cell_length_a 3.9482
_cell_length_b 3.9482
_cell_length_c 30.4948
_cell_angle_alpha 90.00
_cell_angle_beta 90.00
_cell_angle_gamma 120.00
loop_
_atom_site_label
_atom_site_fract_x
_atom_site_fract_y
_atom_site_fract_z
Ba1 0.0000 0.0000 0.0000
Sc1 0.0000 0.0000 0.1230
Pt1 0.0000 0.0000 0.5000
# offset from the most stable computed form	184	meV/atom
# E	-5.445	eV/atom
# DOS(E_F)	0.815	states/eV/atom

(7)
# BaSc2Pt (GGA-PBE, optimized geometry)
data_BaSc2Pt
_chemical_formula_sum 'Ba4 Sc8 Pt4'
_symmetry_space_group_name_H-M 'F -4 3 m'
_symmetry_Int_Tables_number 216
_symmetry_space_group_name_Hall 'F -4 2 3'
_cell_length_a 7.3633
_cell_length_b 7.3633
_cell_length_c 7.3633
_cell_angle_alpha 90.00
_cell_angle_beta 90.00
_cell_angle_gamma 90.00
loop_
_atom_site_label
_atom_site_fract_x
_atom_site_fract_y
_atom_site_fract_z
Ba1 0.0000 0.0000 0.0000
Sc1 0.0000 0.0000 0.5000
Sc2 0.2500 0.2500 0.7500
Pt1 0.2500 0.2500 0.2500
# offset from the most stable computed form	522	meV/atom
# E	-5.107	eV/atom
# DOS(E_F)	1.730	states/eV/atom

(8)
# Ba2ScPt (GGA-PBE, optimized geometry)
data_Ba2ScPt
_chemical_formula_sum 'Ba4 Sc2 Pt2'
_symmetry_space_group_name_H-M 'I -4 m 2'
_symmetry_Int_Tables_number 119
_symmetry_space_group_name_Hall 'I -4 -2'
_cell_length_a 4.6987
_cell_length_b 4.6987
_cell_length_c 11.4630
_cell_angle_alpha 90.00
_cell_angle_beta 90.00
_cell_angle_gamma 90.00
loop_
_atom_site_label
_atom_site_fract_x
_atom_site_fract_y
_atom_site_fract_z
Ba1 0.0000 0.0000 0.0000
Ba2 0.0000 0.5000 0.2500
Sc1 0.0000 0.0000 0.5000
Pt1 0.0000 0.5000 0.7500
# offset from the most stable computed form	496	meV/atom
# E	-3.948	eV/atom
# DOS(E_F)	1.216	states/eV/atom

Spin magnetization (computed, μB/cell): 0.000; 0.000; 0.389; 0.000; 5.352; 0.000; 4.085; 0.855